1.
Density functional theory data (PBE) for a relaxed ScTlSnBr6 crystal.

Unit cell a=7.4158 b=7.4158 c=7.1053 alpha=90.00 beta=90.00 gamma=60.00
Fractional positions:
Sc 0.3333 0.3333 0.5000
Tl 0.0000 0.0000 0.0000
Sn 0.6667 0.6667 0.5000
Br 0.0316 0.3515 0.2792
Br 0.3515 0.0316 0.7208
Br 0.6168 0.3515 0.7208
Br 0.0315 0.6169 0.7208
Br 0.3515 0.6169 0.2792
Br 0.6169 0.0316 0.2792

## Properties
space group = No. 149
raw total energy = -33.7 eV/cell
V = 37.6 Å³ per atom
total magnetic moment = 0.0 μB/f.u.

2.
Density functional theory data (PBE) for a relaxed SrSc2Br crystal.

Unit cell a=3.5135 b=6.1716 c=6.0005 alpha=90.00 beta=90.00 gamma=90.00
Last column: magnetic moment on the atom in μB.
Fractional positions:
Br 0.5000 0.5000 0.7500  0.00
Sc 0.0000 0.0000 0.0130  0.23
Sc 0.0000 0.0000 0.4870  0.23
Sr 0.5000 0.5000 0.2500  0.01

## Properties
space group = No. 47
raw total energy = -15.9 eV/cell
ΔE to the lowest computed polymorph = 0.472 eV per atom
V = 32.5 Å³ per atom
total magnetic moment = 0.7 μB/f.u.

3.
Density functional theory data (PBE) for a relaxed SrSc2Br crystal.

Unit cell a=3.5255 b=3.5255 c=9.2909 alpha=90.00 beta=90.00 gamma=90.00
Last column: magnetic moment on the atom in μB.
Fractional positions:
Br 0.5000 0.5000 0.7500  0.01
Sc 0.0000 0.0000 0.9405  0.67
Sc 0.0000 0.0000 0.5595  0.67
Sr 0.5000 0.5000 0.2500  0.02

## Properties
space group = No. 123
raw total energy = -16.3 eV/cell
ΔE to the lowest computed polymorph = 0.361 eV per atom
V = 28.9 Å³ per atom
total magnetic moment = 2.3 μB/f.u.

4.
Density functional theory data (PBE) for a relaxed SrSc2Br crystal.

Unit cell a=3.5328 b=3.5328 c=9.2683 alpha=90.00 beta=90.00 gamma=90.23
Fractional positions:
Br 0.5000 0.5000 0.7684
Sc 0.0000 0.0000 0.9997
Sc 0.5000 0.5000 0.2150
Sr 0.0000 0.0000 0.5168

## Properties
space group = No. 35
raw total energy = -17.6 eV/cell
ΔE to the lowest computed polymorph = 0.050 eV per atom
V = 28.9 Å³ per atom
total magnetic moment = 0.0 μB/f.u.